No. 1
{"formula": "Ni2IrPt", "functional": "meta-GGA SCAN", "state": "single point on PBEsol structure", "cell": [[-4.093, 0.766, 0.311], [-2.322, 0.373, -3.450], [-2.761, -2.972, -0.989]], "species": ["Pt", "Ni", "Ni", "Ir"], "frac_coords": [[0.250, 0.250, 0.250], [0.750, 0.750, 0.750], [0.000, 0.000, 0.000], [0.500, 0.500, 0.500]], "relative_energy_mev_per_atom": 322, "dos_at_fermi_per_ev_cell": 4.6, "crystal_system": "cubic", "magnetic_moment_mub_per_fu": 1.84, "e_form_ev_per_atom": 0.249}

No. 2
{"formula": "NiIr2Pt", "functional": "meta-GGA SCAN", "state": "single point on PBEsol structure", "cell": [[-2.673, -0.172, -0.362], [0.304, -2.459, -1.079], [-0.709, -3.010, 6.662]], "species": ["Pt", "Ir", "Ni", "Ir"], "frac_coords": [[0.500, 0.500, 0.738], [0.500, 0.500, 0.260], [0.000, 0.000, 0.493], [0.000, 0.000, 0.009]], "relative_energy_mev_per_atom": 16, "dos_at_fermi_per_ev_cell": 3.7, "crystal_system": "tetragonal", "magnetic_moment_mub_per_fu": 0.00, "e_form_ev_per_atom": -0.010}

No. 3
{"formula": "Ni2IrPt", "functional": "meta-GGA SCAN", "state": "single point on PBEsol structure", "cell": [[2.657, 0.000, 0.000], [1.329, 2.301, 0.000], [1.329, 0.767, 8.281]], "species": ["Ni", "Pt", "Ni", "Ir"], "frac_coords": [[0.248, 0.248, 0.256], [0.000, 0.000, 0.000], [0.752, 0.752, 0.744], [0.500, 0.500, 0.500]], "relative_energy_mev_per_atom": 48, "dos_at_fermi_per_ev_cell": 4.5, "crystal_system": "trigonal", "magnetic_moment_mub_per_fu": 0.01, "e_form_ev_per_atom": -0.025}